Entry 1:
## MoIr5Ru2 (GGA-PBE)

Data for crystalline MoIr5Ru2 at its relaxed geometry.

Cell lengths 7.2928, 7.2928, 7.2928 Å; angles 126.08, 126.08, 79.75 degrees
Closest atoms and distances in Å follow each position.
Fractional coordinates of all 16 atoms:
Mo (0.2500, 0.2500, 0.0000)  10 Ir 2.69-2.80
Mo (0.7500, 0.7500, 0.0000)  10 Ir 2.69-2.80
Ir (0.0000, 0.0000, 0.0000)  4 Ru 2.57, 2 Mo 2.80
Ir (0.0253, 0.5253, 0.2106)  4 Ir 2.62-2.71, 3 Ru 2.66-2.80, 2 Mo 2.69
Ir (0.1853, 0.9747, 0.5000)  4 Ir 2.62-2.71, 3 Ru 2.66-2.80, 2 Mo 2.69
Ir (0.3147, 0.8147, 0.7894)  4 Ir 2.62-2.71, 3 Ru 2.66-2.80, 2 Mo 2.69
Ir (0.4747, 0.6853, 0.5000)  4 Ir 2.62-2.71, 3 Ru 2.66-2.80, 2 Mo 2.69
Ir (0.5000, 0.5000, 0.0000)  4 Ru 2.57, 2 Mo 2.80
Ir (0.5253, 0.3147, 0.5000)  4 Ir 2.62-2.71, 3 Ru 2.66-2.80, 2 Mo 2.69
Ir (0.6853, 0.1853, 0.2106)  4 Ir 2.62-2.71, 3 Ru 2.66-2.80, 2 Mo 2.69
Ir (0.8147, 0.0253, 0.5000)  4 Ir 2.62-2.71, 3 Ru 2.66-2.80, 2 Mo 2.69
Ir (0.9747, 0.4747, 0.7894)  4 Ir 2.62-2.71, 3 Ru 2.66-2.80, 2 Mo 2.69
Ru (0.1361, 0.3639, 0.5000)  1 Ru 2.54, 8 Ir 2.57-2.80
Ru (0.3639, 0.8639, 0.2279)  1 Ru 2.54, 8 Ir 2.57-2.80
Ru (0.6361, 0.1361, 0.7721)  1 Ru 2.54, 8 Ir 2.57-2.80
Ru (0.8639, 0.6361, 0.5000)  1 Ru 2.54, 8 Ir 2.57-2.80

Computed properties:
* ΔH_f (0 K): 273 meV/atom
* space-group type: I4/mcm, No. 140

---

Entry 2:
## Mo2IrRu (GGA-PBE)

Data for crystalline Mo2IrRu at its relaxed geometry.

Cell lengths 2.7773, 2.7773, 7.7656 Å; angles 90.00, 90.00, 90.00 degrees
Closest atoms and distances in Å follow each position.
Fractional coordinates of all 4 atoms:
Mo (0.0000, 0.0000, 0.2468)  4 Ru 2.74, 4 Mo 2.78, 4 Ir 2.78
Mo (0.0000, 0.0000, 0.7532)  4 Ru 2.74, 4 Mo 2.78, 4 Ir 2.78
Ir (0.5000, 0.5000, 0.5000)  4 Ir 2.78, 8 Mo 2.78
Ru (0.5000, 0.5000, 0.0000)  8 Mo 2.74, 4 Ru 2.78

Computed properties:
* ΔH_f (0 K): -115 meV/atom
* space-group type: P4/mmm, No. 123

---

Entry 3:
## Mo2IrRu (GGA-PBE)

Data for crystalline Mo2IrRu at its relaxed geometry.

Cell lengths 3.2591, 3.2591, 5.7907 Å; angles 90.00, 90.00, 90.00 degrees
Closest atoms and distances in Å follow each position.
Fractional coordinates of all 4 atoms:
Mo (0.0000, 0.0000, 0.0000)  4 Ir 2.62, 4 Mo 2.83, 2 Ru 2.88-2.91
Mo (0.5000, 0.5000, 0.2846)  4 Ru 2.61, 4 Mo 2.83, 2 Ir 2.89-2.90
Ir (0.5000, 0.5000, 0.7832)  6 Mo 2.62-2.90, 4 Ru 2.84
Ru (0.0000, 0.0000, 0.4976)  6 Mo 2.61-2.91, 4 Ir 2.84

Computed properties:
* ΔH_f (0 K): 133 meV/atom
* space-group type: P4mm, No. 99

---

Number 1: E_tot -8.94 eV per atom. Number 2: E_tot -10.07 eV per atom. Number 3: E_tot -9.82 eV per atom.